[1]
# TcPbCl (PBE, relaxed)
data_TcPbCl
_symmetry_space_group_name_H-M 'I 4 m m'
_symmetry_Int_Tables_number 107
_symmetry_space_group_name_Hall 'I 4 -2'
_cell_length_a 3.110
_cell_length_b 3.110
_cell_length_c 14.424
_cell_angle_alpha 90.00
_cell_angle_beta 90.00
_cell_angle_gamma 90.00
loop_
_atom_site_label
_atom_site_type_symbol
_atom_site_fract_x
_atom_site_fract_y
_atom_site_fract_z
_atom_site_occupancy
Tc1 Tc 0.000 0.000 0.000 1
Pb1 Pb 0.000 0.000 0.351 1
Cl1 Cl 0.000 0.000 0.605 1
# Final energy   -4.9111 eV per atom
# Energy relative to the lowest polymorph listed for this composition   185 meV/atom
# Mass density   8.11 g cm⁻³


[2]
# TcPb2Cl (PBE, relaxed)
data_TcPb2Cl
_symmetry_space_group_name_H-M 'P 1 2/m 1'
_symmetry_Int_Tables_number 10
_cell_length_a 3.416
_cell_length_b 3.439
_cell_length_c 8.158
_cell_angle_alpha 90.00
_cell_angle_beta 90.08
_cell_angle_gamma 90.00
loop_
_symmetry_equiv_pos_as_xyz
'x,y,z'
'-x,-y,-z'
'-x,y,-z'
'x,-y,z'
loop_
_atom_site_label
_atom_site_type_symbol
_atom_site_fract_x
_atom_site_fract_y
_atom_site_fract_z
_atom_site_occupancy
Tc1 Tc 0.000 0.000 0.000 1
Pb1 Pb 0.499 0.500 0.799 1
Cl1 Cl 0.500 0.000 0.500 1
# Final energy   -4.7219 eV per atom
# Energy relative to the lowest polymorph listed for this composition   0 meV/atom
# Mass density   9.49 g cm⁻³


[3]
# TcPbCl (PBE, relaxed)
data_TcPbCl
_symmetry_space_group_name_H-M 'F m m 2'
_symmetry_Int_Tables_number 42
_symmetry_space_group_name_Hall 'F 2 -2'
_cell_length_a 4.135
_cell_length_b 4.669
_cell_length_c 14.473
_cell_angle_alpha 90.00
_cell_angle_beta 90.00
_cell_angle_gamma 90.00
loop_
_atom_site_label
_atom_site_type_symbol
_atom_site_fract_x
_atom_site_fract_y
_atom_site_fract_z
_atom_site_occupancy
Tc1 Tc 0.000 0.000 0.000 1
Pb1 Pb 0.000 0.000 0.650 1
Cl1 Cl 0.000 0.000 0.393 1
# Final energy   -4.9066 eV per atom
# Energy relative to the lowest polymorph listed for this composition   190 meV/atom
# Mass density   8.10 g cm⁻³


[4]
# TcPb2Cl (PBE, relaxed)
data_TcPb2Cl
_symmetry_space_group_name_H-M 'C 1 2/m 1'
_symmetry_Int_Tables_number 12
_cell_length_a 7.844
_cell_length_b 7.711
_cell_length_c 3.188
_cell_angle_alpha 90.00
_cell_angle_beta 105.27
_cell_angle_gamma 90.00
loop_
_symmetry_equiv_pos_as_xyz
'x,y,z'
'-x,-y,-z'
'-x,y,-z'
'x,-y,z'
'x+1/2,y+1/2,z'
'-x+1/2,-y+1/2,-z'
'-x+1/2,y+1/2,-z'
'x+1/2,-y+1/2,z'
loop_
_atom_site_label
_atom_site_type_symbol
_atom_site_fract_x
_atom_site_fract_y
_atom_site_fract_z
_atom_site_occupancy
Tc1 Tc 0.000 0.000 0.000 1
Pb1 Pb 0.250 0.250 0.500 1
Cl1 Cl 0.000 0.500 0.000 1
# Final energy   -4.6484 eV per atom
# Energy relative to the lowest polymorph listed for this composition   73 meV/atom
# Mass density   9.78 g cm⁻³


Please write out number 1 again, unchanged.
# TcPbCl (PBE, relaxed)
data_TcPbCl
_symmetry_space_group_name_H-M 'I 4 m m'
_symmetry_Int_Tables_number 107
_symmetry_space_group_name_Hall 'I 4 -2'
_cell_length_a 3.110
_cell_length_b 3.110
_cell_length_c 14.424
_cell_angle_alpha 90.00
_cell_angle_beta 90.00
_cell_angle_gamma 90.00
loop_
_atom_site_label
_atom_site_type_symbol
_atom_site_fract_x
_atom_site_fract_y
_atom_site_fract_z
_atom_site_occupancy
Tc1 Tc 0.000 0.000 0.000 1
Pb1 Pb 0.000 0.000 0.351 1
Cl1 Cl 0.000 0.000 0.605 1
# Final energy   -4.9111 eV per atom
# Energy relative to the lowest polymorph listed for this composition   185 meV/atom
# Mass density   8.11 g cm⁻³


Question: Which of these has the lowest energy relative to the lowest polymorph listed for this composition?
Answer: number 2


Question: What is the final energy in the third record?
Answer: -4.9066 eV per atom